DFT (PBE+U) results for a geometry-optimized WCl3F structure.

Calculated values
D(E_F) (states/eV/f.u.): 6.61
Total energy (eV/f.u.): -11.00
Theoretical density (g cm⁻³): 5.05
Magnetic moment (μB/atom): 0.739

Lattice parameters (Å, degrees): 4.668 4.668 4.668 90.00 90.00 90.00
Space group Pm-3m (No. 221)
Symmetry-distinct sites (fractional):
W 0.000 0.000 0.000 x1
Cl 0.000 0.500 0.500 x3
F 0.500 0.500 0.500 x1